# MnCd2Au8

A geometry-optimized MnCd2Au8 structure (PBE-GGA, Alexandria via LeMat-Bulk).

The structure in extended XYZ format:
```
11
Lattice="-4.1262 -1.4788 -1.0910 2.7823 -5.5975 -2.9357 0.3004 0.3012 7.8060" Properties=species:S:1:pos:R:3 pbc="T T T"
Mn -2.0631 -0.7394 -0.5455
Cd -2.2850 -2.6977 2.9479
Cd 1.2415 -4.0774 0.8315
Au 0.3292 -3.5597 3.5799
Au -0.1728 -5.6379 -1.0550
Au -0.9252 -5.7295 1.9147
Au -3.0459 -2.7433 5.8875
Au -0.1183 -1.0456 1.8647
Au -0.8707 -1.1372 4.8344
Au -1.3727 -3.2154 0.1995
Au 2.0024 -4.0318 -2.1082
```

Output
* E_tot: -3.45 eV/atom
* V: 18.8 Å³/atom
* ΔE_f: -0.0621 eV/atom
* density: 14.9 Mg/m³